AcGdYHo: relaxed, PBE.

Unit cell a=8.260 b=8.260 c=8.260 alpha=90.00 beta=90.00 gamma=90.00
Space group F-43m (No. 216)
Asymmetric unit:
Ac: 0.000 0.000 0.000
Gd: 0.000 0.000 0.500
Y: 0.250 0.250 0.750
Ho: 0.250 0.250 0.250

Computed properties:
Formation energy from the elements ... 107 meV per atom
DFT total energy ... -28.8 eV per formula unit